This record from Alexandria describes crystalline NaYGePd at its relaxed geometry. The functional is PBE.

## Properties
E_tot: -0.35842 Ry/atom

Lattice parameters (Å, degrees): 6.7298 6.7298 6.7298 90.00 90.00 90.00
Space group F-43m (No. 216)
Inequivalent atoms, fractional coordinates:
1 Na 0.0000 0.0000 0.0000 [4 per cell]
2 Y 0.2500 0.2500 0.7500 [4 per cell]
3 Ge 0.2500 0.2500 0.2500 [4 per cell]
4 Pd 0.0000 0.0000 0.5000 [4 per cell]